1.
An optimized crystal structure of CaGaSeBr2, computed with GGA-PBEsol.

Cell and atoms, written as extended XYZ:
```
5
Lattice="-2.4991 0.4155 4.4060 -3.1195 -3.8350 -1.4077 3.2095 -3.3965 2.1407" Properties=species:S:1:pos:R:3 pbc="T T T"
Ga 0.0000 0.0000 0.0000
Ca -1.2045 -3.4080 2.5695
Se -1.2495 0.2078 2.2030
Br 1.6048 -1.6983 1.0704
Br -1.5598 -1.9175 -0.7038
```

Results
Space group: P4/mmm
Formation energy without anion corrections (eV/atom): -0.88

---

2.
An optimized crystal structure of Cd2CuHg, computed with GGA-PBEsol.

Cell and atoms, written as extended XYZ:
```
4
Lattice="3.7984 0.0000 0.0000 0.0000 4.3739 0.5173 0.0000 -0.8551 4.3206" Properties=species:S:1:pos:R:3 pbc="T T T"
Cd 0.0000 2.1870 0.2587
Cd 0.0000 -0.4276 2.1603
Cu 1.8992 0.0000 0.0000
Hg 1.8992 1.7594 2.4190
```

Results
Space group: Cmmm
E_form (eV/atom): 0.11

---

3.
An optimized crystal structure of RbFe2S3, computed with GGA-PBEsol.

Cell and atoms, written as extended XYZ:
```
12
Lattice="5.0934 0.0000 0.0000 0.0000 7.0104 0.0787 0.0000 -1.5548 6.8363" Properties=species:S:1:pos:R:3 pbc="T T T"
Rb 1.2733 4.2231 2.2777
Rb 3.8200 1.2324 4.6372
Fe 0.0000 0.7764 0.9841
Fe 0.0000 4.6792 5.9308
Fe 2.5467 4.6792 5.9308
Fe 2.5467 0.7764 0.9841
S 3.8200 4.8630 4.2782
S 1.2733 0.5925 2.6367
S 1.2733 3.0291 5.7251
S 3.8200 2.4264 1.1898
S 3.8200 6.0682 0.8220
S 1.2733 -0.6126 6.0929
```

Results
Space group: Cmcm
Formation energy without anion corrections (eV/atom): -0.75

---

4.
An optimized crystal structure of BaReSb2, computed with GGA-PBEsol.

Cell and atoms, written as extended XYZ:
```
4
Lattice="-2.2791 3.4189 3.1333 -1.5879 -1.4576 4.6963 2.4739 1.6989 4.2065" Properties=species:S:1:pos:R:3 pbc="T T T"
Ba -0.6966 1.8301 6.0180
Re -0.3483 0.9151 3.0090
Sb 0.0000 0.0000 0.0000
Sb -1.0448 2.7452 9.0270
```

Results
Space group: F-43m
Formation energy without anion corrections (eV/atom): 0.82

---

no.,V (Å³ per cell),total moment (μB/cell)
1,134,0.0
2,73,0.0
3,245,0.0
4,98,0.0